DFT (PBE) results for a relaxed AcTb5Pb6 crystal.

Summary:
V = 374.08 Å³/f.u.
crystal system = monoclinic
ΔH_f (0 K) = -0.440 eV/atom

a b c (Å): 6.255 15.460 7.987
angles (deg): 90.00 104.37 90.00
Space group C2/m (No. 12)
Inequivalent atoms, fractional coordinates:
Ac 0.000 0.000 0.000 [2 per cell]
Tb 0.000 0.000 0.500 [2 per cell]
Tb 0.000 0.328 0.000 [4 per cell]
Tb 0.000 0.346 0.500 [4 per cell]
Pb 0.005 0.174 0.733 [8 per cell]
Pb 0.025 0.500 0.241 [4 per cell]